Entry 1:
First-principles (GGA-PBE) data for a relaxed CdAs4 crystal, as listed in Alexandria via LeMat-Bulk.

Calculated values
Crystal system: cubic
Symmetry: Pm-3m (221)

a b c (Å): 5.098 5.098 5.098
angles (deg): 90.00 90.00 90.00
Element x y z (fractional)
As 0.000 0.000 0.000
Cd 0.500 0.500 0.500
As 0.500 0.500 0.000
As 0.000 0.500 0.500
As 0.500 0.000 0.500

***

Entry 2:
First-principles (GGA-PBE) data for a relaxed Cd2As crystal, as listed in Alexandria via LeMat-Bulk.

Calculated values
Crystal system: orthorhombic
Symmetry: Pnma (62)
Excess energy over the best structure of this formula in the dataset: 0.05 eV per formula unit

a b c (Å): 4.340 9.129 7.325
angles (deg): 90.00 90.00 90.00
Element x y z (fractional)
Cd 0.750 0.504 0.332
Cd 0.750 0.004 0.168
As 0.250 0.702 0.393
As 0.750 0.798 0.893
Cd 0.750 0.869 0.532
As 0.750 0.298 0.607
Cd 0.250 0.131 0.468
Cd 0.250 0.996 0.832
Cd 0.750 0.369 0.968
As 0.250 0.202 0.107
Cd 0.250 0.631 0.032
Cd 0.250 0.496 0.668

***

Entry 3:
First-principles (GGA-PBE) data for a relaxed Cd3As crystal, as listed in Alexandria via LeMat-Bulk.

Calculated values
Crystal system: orthorhombic
Symmetry: Pmmn (59)
Excess energy over the best structure of this formula in the dataset: 0.00 eV per formula unit

a b c (Å): 4.423 5.627 7.669
angles (deg): 90.00 90.00 90.00
Element x y z (fractional)
As 0.000 0.475 0.000
Cd 0.000 0.215 0.500
Cd 0.500 0.212 0.210
Cd 0.500 0.785 0.000
As 0.500 0.525 0.500
Cd 0.000 0.788 0.290
Cd 0.500 0.212 0.790
Cd 0.000 0.788 0.710

***

Entry 4:
First-principles (GGA-PBE) data for a relaxed Cd4As5 crystal, as listed in Alexandria via LeMat-Bulk.

Calculated values
Crystal system: tetragonal
Symmetry: I4/mmm (139)
Excess energy over the best structure of this formula in the dataset: 0.00 eV per formula unit

a b c (Å): 7.590 7.590 7.590
angles (deg): 93.19 93.19 152.71
Element x y z (fractional)
As 0.000 0.000 0.000
As 0.683 0.317 0.000
Cd 0.679 0.000 0.679
As 0.683 0.683 0.365
As 0.317 0.317 0.635
Cd 0.000 0.321 0.321
As 0.317 0.683 0.000
Cd 0.321 0.000 0.321
Cd 0.000 0.679 0.679

***

no.,final energy (eV/atom),ΔH_f (0 K) (eV per atom)
1,-2.76,1.145
2,-2.14,0.019
3,-1.83,0.020
4,-2.73,0.257